(1)
This record from Alexandria describes an optimized crystal structure of Ba2HfAsPb. The functional is PBE.

Cell: 6.1814 5.5226 6.1814 Å, 90.00 90.00 90.00°
Last column: magnetic moment on the atom in μB.
Fractional positions:
Hf 0.0000 0.0000 0.0000  0.49
Ba 0.5000 0.0000 0.0000  0.06
Ba 0.0000 0.0000 0.5000  0.10
As 0.5000 0.5000 0.5000  0.29
Pb 0.0000 0.5000 0.0000  0.00

- DFT formation energy (meV/atom) = 592
- uncorrected energy (eV per atom) = -3.840
- crystal system = tetragonal

(2)
This record from Alexandria describes an optimized crystal structure of TiMoPb2. The functional is PBE.

Cell: 4.8567 4.8567 4.8567 Å, 60.00 60.00 60.00°
Fractional positions:
Ti 0.0000 0.0000 0.0000
Mo 0.5000 0.5000 0.5000
Pb 0.2500 0.2500 0.2500
Pb 0.7500 0.7500 0.7500

- distance to the lowest polymorph of the same formula (eV per formula unit) = 0.000
- DFT formation energy (meV/atom) = 484
- uncorrected energy (eV per atom) = -6.052
- crystal system = cubic

(3)
This record from Alexandria describes an optimized crystal structure of Ba4HPtI2. The functional is PBE.

Cell: 4.5640 7.7339 9.0981 Å, 106.72 90.00 90.00°
Fractional positions:
Pt 0.5000 0.5000 0.0000
H 0.0000 0.0000 0.0000
Ba 0.5000 0.7663 0.8025
Ba 0.0000 0.2627 0.8018
Ba 0.5000 0.2337 0.1975
Ba 0.0000 0.7373 0.1982
I 0.5000 0.0000 0.5000
I 0.0000 0.5000 0.5000

- uncorrected energy (eV per atom) = -3.492
- crystal system = monoclinic

(4)
This record from Alexandria describes an optimized crystal structure of DyZrSi2. The functional is PBE.

Cell: 3.7856 5.5261 7.4804 Å, 90.00 90.00 90.00°
Fractional positions:
Si 0.0000 0.3742 0.0375
Si 0.0000 0.6258 0.5375
Si 0.5000 0.1101 0.9598
Si 0.5000 0.8899 0.4598
Zr 0.0000 0.8728 0.1804
Zr 0.0000 0.1272 0.6804
Dy 0.5000 0.6286 0.8222
Dy 0.5000 0.3714 0.3222

- distance to the lowest polymorph of the same formula (eV per formula unit) = 0.000
- ΔE_f (raw) (eV/atom) = -0.83
- uncorrected energy (eV per atom) = -6.830
- crystal system = orthorhombic

(5)
This record from Alexandria describes an optimized crystal structure of La2Cu2O5. The functional is PBE.

Cell: 8.9634 8.9634 8.9634 Å, 145.10 143.87 51.11°
Last column: magnetic moment on the atom in μB.
Fractional positions:
Cu 0.0000 0.9903 0.9903  0.04
Cu 0.2169 0.2695 0.9864  0.37
Cu 0.5000 0.4903 0.9903  0.04
Cu 0.7831 0.7695 0.0526  0.37
La 0.6034 0.1073 0.4828  0.00
La 0.3966 0.8794 0.5039  0.00
La 0.1245 0.6073 0.5039  0.00
La 0.8755 0.3794 0.4828  0.00
O 0.2415 0.7312 0.9972  0.01
O 0.2340 0.2312 0.4897  0.01
O 0.8032 0.8352 0.9124  0.06
O 0.4228 0.3352 0.0320  0.06
O 0.7660 0.2557 0.9972  0.01
O 0.8494 0.1582 0.5075  0.11
O 0.1506 0.6582 0.3088  0.11
O 0.1968 0.1092 0.0320  0.06
O 0.7585 0.7557 0.4897  0.01
O 0.5772 0.6092 0.9124  0.06

- distance to the lowest polymorph of the same formula (eV per formula unit) = 0.573
- ΔE_f (raw) (eV/atom) = -2.10
- uncorrected energy (eV per atom) = -6.857
- crystal system = orthorhombic

(6)
This record from Alexandria describes an optimized crystal structure of Sr2GaCuN. The functional is PBE.

Cell: 5.4692 5.4692 3.7312 Å, 90.00 90.00 90.00°
Fractional positions:
Sr 0.0000 0.5000 0.0000
Sr 0.5000 0.0000 0.0000
N 0.0000 0.0000 0.0000
Ga 0.5000 0.5000 0.5000
Cu 0.0000 0.0000 0.5000

- ΔE_f (raw) (eV/atom) = -0.28
- uncorrected energy (eV per atom) = -4.038
- crystal system = tetragonal

(7)
This record from Alexandria describes an optimized crystal structure of CdPW. The functional is PBE.

Cell: 4.2184 4.2184 4.2184 Å, 60.00 60.00 60.00°
Fractional positions:
P 0.7500 0.7500 0.7500
Cd 0.5000 0.5000 0.5000
W 0.0000 0.0000 0.0000

- distance to the lowest polymorph of the same formula (eV per formula unit) = 1.651
- DFT formation energy (meV/atom) = 690
- uncorrected energy (eV per atom) = -5.736
- crystal system = cubic

(8)
This record from Alexandria describes an optimized crystal structure of CeHo4Os2. The functional is PBE.

Cell: 6.3037 8.0231 7.7553 Å, 113.42 90.00 90.00°
Last column: magnetic moment on the atom in μB.
Fractional positions:
Os 0.2500 0.6330 0.5970  -0.03
Os 0.7500 0.7405 0.0208  -0.03
Os 0.2500 0.2595 0.9792  -0.03
Os 0.7500 0.3670 0.4030  -0.03
Ho 0.4973 0.5834 0.2414  0.01
Ho 0.7500 0.7499 0.6721  0.02
Ho 0.7500 0.0148 0.3827  0.02
Ho 0.9973 0.4166 0.7586  0.01
Ho 0.0027 0.5834 0.2414  0.01
Ho 0.2500 0.9852 0.6173  0.02
Ho 0.2500 0.2501 0.3279  0.02
Ho 0.5027 0.4166 0.7586  0.01
Ce 0.7500 0.1686 0.0376  0.39
Ce 0.2500 0.8314 0.9624  0.39

- DFT formation energy (meV/atom) = -160
- uncorrected energy (eV per atom) = -6.832
- crystal system = monoclinic

(9)
This record from Alexandria describes an optimized crystal structure of BaLiCd2Pb. The functional is PBE.

Cell: 4.9789 4.9234 7.0256 Å, 110.51 110.75 90.00°
Fractional positions:
Li 0.2007 0.7007 0.4014
Pb 0.8225 0.8225 0.6450
Ba 0.4369 0.4369 0.8737
Cd 0.6864 0.1864 0.3728
Cd 0.0656 0.0656 0.1313

- distance to the lowest polymorph of the same formula (eV per formula unit) = 0.000
- DFT formation energy (meV/atom) = -332
- uncorrected energy (eV per atom) = -2.207
- crystal system = orthorhombic

(10)
This record from Alexandria describes an optimized crystal structure of Cs3BO3. The functional is PBE.

Cell: 5.7234 10.8091 5.7234 Å, 129.02 84.58 129.02°
Fractional positions:
O 0.0000 0.5227 0.6834
O 0.3166 0.8393 0.3166
O 0.6834 0.5227 0.0000
Cs 0.5041 0.0075 0.0000
Cs 0.4959 0.5034 0.4959
Cs 0.0000 0.0075 0.5041
B 0.0000 0.6221 0.0000

- distance to the lowest polymorph of the same formula (eV per formula unit) = 1.144
- ΔE_f (raw) (eV/atom) = -1.69
- uncorrected energy (eV per atom) = -5.135
- crystal system = trigonal

(11)
This record from Alexandria describes an optimized crystal structure of LiPtW2. The functional is PBE.

Cell: 2.6743 2.6743 9.0606 Å, 90.00 90.00 102.02°
Fractional positions:
W 0.0000 0.0000 0.5082
W 0.0000 0.0000 0.9918
Pt 0.5000 0.5000 0.7500
Li 0.5000 0.5000 0.2500

- distance to the lowest polymorph of the same formula (eV per formula unit) = 1.142
- DFT formation energy (meV/atom) = 312
- uncorrected energy (eV per atom) = -8.153
- crystal system = orthorhombic

(12)
This record from Alexandria describes an optimized crystal structure of LaPdAu2. The functional is PBE.

Cell: 4.2996 4.4677 4.4677 Å, 90.00 90.00 90.00°
Fractional positions:
Au 0.0000 0.0000 0.5000
Au 0.0000 0.5000 0.0000
La 0.5000 0.5000 0.5000
Pd 0.5000 0.0000 0.0000

- distance to the lowest polymorph of the same formula (eV per formula unit) = 0.761
- DFT formation energy (meV/atom) = -565
- uncorrected energy (eV per atom) = -4.734
- crystal system = tetragonal

(13)
This record from Alexandria describes an optimized crystal structure of CrCdRh2N. The functional is PBE.

Cell: 4.2130 4.2130 3.8733 Å, 90.00 90.00 90.00°
Last column: magnetic moment on the atom in μB.
Fractional positions:
Rh 0.5000 0.0000 0.0000  0.15
Rh 0.0000 0.5000 0.0000  0.15
Cd 0.5000 0.5000 0.5000  -0.01
Cr 0.0000 0.0000 0.5000  2.62
N 0.0000 0.0000 0.0000  -0.14

- ΔE_f (raw) (eV/atom) = -0.07
- uncorrected energy (eV per atom) = -6.788
- crystal system = tetragonal

(14)
This record from Alexandria describes an optimized crystal structure of Cr3FeRh12. The functional is PBE.

Cell: 3.7969 3.7969 15.1999 Å, 90.00 90.00 90.00°
Last column: magnetic moment on the atom in μB.
Fractional positions:
Rh 0.5000 0.0000 0.1264  0.05
Rh 0.5000 0.0000 0.3750  0.23
Rh 0.5000 0.5000 0.5000  0.23
Rh 0.0000 0.5000 0.8736  0.05
Rh 0.5000 0.5000 0.0000  -0.08
Rh 0.5000 0.0000 0.8736  0.05
Rh 0.0000 0.5000 0.6250  0.23
Rh 0.5000 0.5000 0.7491  0.20
Rh 0.0000 0.5000 0.1264  0.05
Rh 0.5000 0.0000 0.6250  0.23
Rh 0.0000 0.5000 0.3750  0.23
Rh 0.5000 0.5000 0.2509  0.20
Fe 0.0000 0.0000 0.0000  -2.94
Cr 0.0000 0.0000 0.7515  -1.72
Cr 0.0000 0.0000 0.5000  -1.91
Cr 0.0000 0.0000 0.2485  -1.72

- DFT formation energy (meV/atom) = -107
- uncorrected energy (eV per atom) = -7.954
- crystal system = tetragonal

(15)
This record from Alexandria describes an optimized crystal structure of CeSmRhAu. The functional is PBE.

Cell: 3.9223 4.1349 6.2650 Å, 90.00 108.24 90.00°
Last column: magnetic moment on the atom in μB.
Fractional positions:
Ce 0.8707 0.5000 0.7414  0.19
Rh 0.3984 0.0000 0.7969  -0.02
Au 0.5787 0.5000 0.1573  0.00
Sm 0.1522 0.0000 0.3043  0.00

- distance to the lowest polymorph of the same formula (eV per formula unit) = 0.000
- DFT formation energy (meV/atom) = -772
- uncorrected energy (eV per atom) = -6.092
- crystal system = orthorhombic

(16)
This record from Alexandria describes an optimized crystal structure of OsRuPt2. The functional is PBE.

Cell: 5.5228 5.5228 5.5228 Å, 151.67 129.67 58.76°
Last column: magnetic moment on the atom in μB.
Fractional positions:
Ru 0.7500 0.2500 0.5000  0.18
Os 0.2500 0.7500 0.5000  0.23
Pt 0.4960 0.4960 0.0000  0.01
Pt 0.0040 0.0040 0.0000  0.01

- distance to the lowest polymorph of the same formula (eV per formula unit) = 1.564
- DFT formation energy (meV/atom) = 381
- uncorrected energy (eV per atom) = -7.766
- crystal system = orthorhombic

(17)
This record from Alexandria describes an optimized crystal structure of CoCu2W. The functional is PBE.

Cell: 8.7652 8.7652 8.7652 Å, 17.40 17.40 17.40°
Last column: magnetic moment on the atom in μB.
Fractional positions:
Co 0.7500 0.7500 0.7500  1.37
Cu 0.4956 0.4956 0.4956  -0.01
Cu 0.0044 0.0044 0.0044  -0.01
W 0.2500 0.2500 0.2500  -0.11

- distance to the lowest polymorph of the same formula (eV per formula unit) = 0.605
- DFT formation energy (meV/atom) = 337
- uncorrected energy (eV per atom) = -6.726
- crystal system = trigonal

(18)
This record from Alexandria describes an optimized crystal structure of Ba2LiHg2. The functional is PBE.

Cell: 9.0221 9.0221 4.5973 Å, 90.00 90.00 90.00°
Fractional positions:
Hg 0.8656 0.6344 0.0000
Hg 0.3656 0.8656 0.0000
Hg 0.1344 0.3656 0.0000
Hg 0.6344 0.1344 0.0000
Li 0.5000 0.5000 0.0000
Li 0.0000 0.0000 0.0000
Ba 0.3352 0.1648 0.5000
Ba 0.6648 0.8352 0.5000
Ba 0.1648 0.6648 0.5000
Ba 0.8352 0.3352 0.5000

- distance to the lowest polymorph of the same formula (eV per formula unit) = 0.195
- DFT formation energy (meV/atom) = -366
- uncorrected energy (eV per atom) = -1.638
- crystal system = tetragonal

(19)
This record from Alexandria describes an optimized crystal structure of CePuHf2As4. The functional is PBE.

Cell: 3.9828 6.9691 6.8849 Å, 70.70 90.00 90.00°
Last column: magnetic moment on the atom in μB.
Fractional positions:
As 0.0000 0.7723 0.7412  0.02
As 0.5000 0.2296 0.7551  0.04
As 0.5000 0.7704 0.2449  0.04
As 0.0000 0.2277 0.2588  0.02
Hf 0.5000 0.0000 0.5000  -0.01
Hf 0.0000 0.0000 0.0000  0.01
Pu 0.0000 0.5000 0.5000  -5.20
Ce 0.5000 0.5000 0.0000  -0.37

- DFT formation energy (meV/atom) = -1156
- uncorrected energy (eV per atom) = -8.502
- crystal system = monoclinic

(20)
This record from Alexandria describes an optimized crystal structure of Nd5PtAu2. The functional is PBE.

Cell: 4.8702 7.4452 12.4693 Å, 90.00 90.00 90.00°
Fractional positions:
Au 0.5000 0.5701 0.1656
Au 0.5000 0.9299 0.6656
Au 0.5000 0.4299 0.8344
Au 0.5000 0.0701 0.3344
Pt 0.0000 0.0000 0.0000
Pt 0.0000 0.5000 0.5000
Nd 0.0000 0.6561 0.7102
Nd 0.0000 0.0000 0.5000
Nd 0.0000 0.1561 0.7898
Nd 0.5000 0.8201 0.9141
Nd 0.0000 0.8439 0.2102
Nd 0.0000 0.5000 0.0000
Nd 0.5000 0.6799 0.4141
Nd 0.5000 0.3201 0.5859
Nd 0.0000 0.3439 0.2898
Nd 0.5000 0.1799 0.0859

- DFT formation energy (meV/atom) = -676
- uncorrected energy (eV per atom) = -5.231
- crystal system = orthorhombic

(21)
This record from Alexandria describes an optimized crystal structure of Cr2NiOs. The functional is PBE.

Cell: 4.4310 4.4310 4.4310 Å, 130.84 130.84 72.07°
Last column: magnetic moment on the atom in μB.
Fractional positions:
Ni 0.5000 0.5000 0.0000  -0.01
Cr 0.2500 0.7500 0.5000  0.22
Cr 0.0000 0.0000 0.0000  -0.11
Os 0.7500 0.2500 0.5000  0.01

- DFT formation energy (meV/atom) = 71
- uncorrected energy (eV per atom) = -8.994
- crystal system = tetragonal

(22)
This record from Alexandria describes an optimized crystal structure of KLiCd2. The functional is PBE.

Cell: 4.8239 3.3059 7.3608 Å, 90.21 90.00 90.00°
Fractional positions:
Cd 0.5000 0.1251 0.1974
Cd 0.0000 0.1228 0.9474
Li 0.5000 0.6219 0.8667
K 0.0000 0.6302 0.4885

- distance to the lowest polymorph of the same formula (eV per formula unit) = 0.236
- DFT formation energy (meV/atom) = -53
- uncorrected energy (eV per atom) = -1.263
- crystal system = monoclinic

(23)
This record from Alexandria describes an optimized crystal structure of SmDyEr2Se4. The functional is PBE.

Cell: 4.0226 7.1613 7.0466 Å, 71.25 90.00 90.00°
Fractional positions:
Se 0.0000 0.2400 0.2573
Se 0.0000 0.7600 0.7427
Se 0.5000 0.2430 0.7485
Se 0.5000 0.7570 0.2515
Er 0.5000 0.0000 0.5000
Er 0.0000 0.0000 0.0000
Sm 0.5000 0.5000 0.0000
Dy 0.0000 0.5000 0.5000

- ΔE_f (raw) (eV/atom) = -1.74
- uncorrected energy (eV per atom) = -5.785
- crystal system = monoclinic

(24)
This record from Alexandria describes an optimized crystal structure of InBi2Te. The functional is PBE.

Cell: 5.5436 5.5436 5.5436 Å, 60.00 60.00 60.00°
Fractional positions:
In 0.0000 0.0000 0.0000
Bi 0.2500 0.2500 0.2500
Bi 0.7500 0.7500 0.7500
Te 0.5000 0.5000 0.5000

- distance to the lowest polymorph of the same formula (eV per formula unit) = 0.000
- ΔE_f (raw) (eV/atom) = 0.12
- uncorrected energy (eV per atom) = -3.286
- crystal system = cubic

(25)
This record from Alexandria describes an optimized crystal structure of LiBeFePt2. The functional is PBE.

Cell: 4.2057 4.0753 4.2057 Å, 90.00 90.00 90.00°
Last column: magnetic moment on the atom in μB.
Fractional positions:
Be 0.0000 0.0000 0.0000  -0.06
Pt 0.0000 0.0000 0.5000  0.17
Pt 0.5000 0.0000 0.0000  0.12
Fe 0.0000 0.5000 0.0000  2.76
Li 0.5000 0.5000 0.5000  -0.01

- DFT formation energy (meV/atom) = 0
- uncorrected energy (eV per atom) = -5.237
- crystal system = tetragonal

(26)
This record from Alexandria describes an optimized crystal structure of Ca6GaHg2. The functional is PBE.

Cell: 5.3507 7.1570 8.4296 Å, 83.19 71.50 68.05°
Fractional positions:
Hg 0.3343 0.5000 0.8313
Hg 0.6657 0.5000 0.1687
Ca 0.3027 0.2240 0.1706
Ca 0.6370 0.2259 0.5000
Ca 0.6973 0.7760 0.8294
Ca 0.3630 0.7741 0.5000
Ca 0.9733 0.2240 0.8294
Ca 0.0267 0.7760 0.1706
Ga 0.0000 0.5000 0.5000

- DFT formation energy (meV/atom) = -367
- uncorrected energy (eV per atom) = -2.104
- crystal system = orthorhombic

For each record above, in turn, the calculated calculated volume values are 211; 81; 308; 156; 242; 112; 53; 360; 149; 185; 63; 86; 69; 219; 97; 61; 53; 374; 180; 452; 49; 117; 192; 120; 72; 284 Å³ per cell.